# 1
Material: La2Pr2CI3Cl2
Method: DFT, GGA-PBE
State: optimized geometry

Output
Final energy, eV/atom: -5.074

Structure (POSCAR):
```
La2Pr2CI3Cl2
1.0
9.558 -2.048 0.000
9.558 2.048 0.000
-1.721 0.000 8.670
C Cl I La Pr
1 2 3 2 2
direct
0.500 0.500 0.000
0.150 0.150 0.304
0.850 0.850 0.696
0.827 0.827 0.194
0.500 0.500 0.500
0.173 0.173 0.806
0.638 0.638 0.070
0.362 0.362 0.930
0.998 0.998 0.196
0.002 0.002 0.804
```

***

# 2
Material: La2Sm2C2I2Cl3
Method: DFT, GGA-PBE
State: optimized geometry

Output
Final energy, eV/atom: -5.666

Structure (POSCAR):
```
La2Sm2C2I2Cl3
1.0
9.986 -1.991 0.000
9.986 1.991 0.000
-1.734 0.000 7.938
C Cl I La Sm
2 3 2 2 2
direct
0.464 0.464 0.480
0.536 0.536 0.520
0.500 0.500 0.000
0.846 0.846 0.164
0.154 0.154 0.836
0.171 0.171 0.306
0.829 0.829 0.694
0.999 0.999 0.289
0.001 0.001 0.711
0.350 0.350 0.406
0.650 0.650 0.594
```

***

# 3
Material: La2Sm2C2ICl4
Method: DFT, GGA-PBE
State: optimized geometry

Output
Final energy, eV/atom: -5.789

Structure (POSCAR):
```
La2Sm2C2ICl4
1.0
-6.222 7.187 -1.545
-7.767 5.439 1.690
6.274 3.649 4.969
C Cl I La Sm
2 4 1 2 2
direct
0.462 0.462 0.478
0.538 0.538 0.522
0.835 0.835 0.183
0.172 0.172 0.370
0.828 0.828 0.630
0.165 0.165 0.817
0.500 0.500 0.000
0.001 0.001 0.308
0.999 0.999 0.692
0.340 0.340 0.405
0.660 0.660 0.595
```

***

# 4
Material: Nd4C2ICl4
Method: DFT, GGA-PBE
State: optimized geometry

Output
Final energy, eV/atom: -5.690

Structure (POSCAR):
```
Nd4C2ICl4
1.0
9.684 -1.997 0.000
9.684 1.997 0.000
-3.596 0.000 7.569
C Cl I Nd
2 4 1 4
direct
0.460 0.460 0.460
0.540 0.540 0.540
0.832 0.832 0.086
0.168 0.168 0.420
0.832 0.832 0.580
0.168 0.168 0.914
0.500 0.500 0.000
0.000 0.000 0.305
0.332 0.332 0.333
0.668 0.668 0.667
0.000 0.000 0.695
```

***

# 5
Material: Nd2Sc2CI3Cl2
Method: DFT, GGA-PBE
State: optimized geometry

Output
Relative energy among the computed polymorphs, eV per formula unit: 0.616
Final energy, eV/atom: -5.224

Structure (POSCAR):
```
Nd2Sc2CI3Cl2
1.0
9.590 -1.941 0.000
9.590 1.941 0.000
-1.726 0.000 7.983
C Cl I Nd Sc
1 2 3 2 2
direct
0.500 0.500 0.000
0.861 0.861 0.191
0.139 0.139 0.809
0.159 0.159 0.356
0.500 0.500 0.500
0.841 0.841 0.644
0.629 0.629 0.052
0.371 0.371 0.948
0.001 0.001 0.184
0.999 0.999 0.816
```

***

# 6
Material: Nd2Sc2CI2Cl3
Method: DFT, GGA-PBE
State: optimized geometry

Output
Relative energy among the computed polymorphs, eV per formula unit: 0.937
Final energy, eV/atom: -5.341

Structure (POSCAR):
```
Nd2Sc2CI2Cl3
1.0
-4.844 -1.934 8.205
-6.339 -4.500 5.839
6.379 -4.483 0.829
C Cl I Nd Sc
1 3 2 2 2
direct
0.500 0.500 0.000
0.862 0.862 0.204
0.500 0.500 0.500
0.138 0.138 0.796
0.158 0.158 0.368
0.842 0.842 0.632
0.630 0.630 0.053
0.370 0.370 0.947
0.002 0.002 0.196
0.998 0.998 0.804
```